Material: Ac4Nd3Se8
Method: DFT, PBE-GGA
State: relaxed

Output
For the volume, the calculation gives 467.7 Å³ per cell. The formation energy (no corrections) is -180.0 kJ per mole of atoms. The total energy comes out at -86.6 eV for the cell shown.

Structure (extended XYZ):
```
15
Lattice="6.158 -6.162 0.000 6.158 6.162 0.000 -6.069 0.000 6.162" Properties=species:S:1:pos:R:3 pbc="T T T"
Ac 0.000 0.000 0.000
Ac 3.079 3.081 0.000
Ac 3.079 -3.081 0.000
Ac 3.124 0.000 3.081
Nd -3.035 0.000 3.081
Nd 0.045 3.081 3.081
Nd 0.045 -3.081 3.081
Se 3.124 3.139 3.081
Se -2.937 0.000 6.098
Se -0.012 0.000 3.143
Se 6.158 3.023 0.000
Se 6.158 -3.023 0.000
Se 6.260 0.000 3.020
Se 9.184 0.000 0.064
Se 3.124 -3.139 3.081
```